No. 1
VASP calculation (PBE-GGA) on a geometry-optimized Cd2Au3 structure.

Values from the calculation:
- Energy: -12.393 eV per cell
- Fermi-level density of states: 1.7 states/eV/f.u.
- Formation enthalpy at 0 K: -70 kJ/mol of formula units

Cell lengths 7.870, 7.870, 7.870 Å; angles 155.46, 151.57, 37.90 degrees
Fractional coordinates of all 5 atoms:
Cd (0.103, 0.103, 0.000)
Cd (0.897, 0.897, 0.000)
Au (0.301, 0.301, 0.000)
Au (0.500, 0.500, 0.000)
Au (0.699, 0.699, 0.000)



No. 2
VASP calculation (PBE-GGA) on a geometry-optimized RbBAu2 structure.

Values from the calculation:
- Energy: -27.757 eV per cell
- Fermi-level density of states: 0.9 states/eV/f.u.
- Formation enthalpy at 0 K: 31 kJ/mol of formula units

Cell lengths 7.284, 7.284, 7.284 Å; angles 129.95, 129.95, 73.48 degrees
Fractional coordinates of all 8 atoms:
Rb (0.375, 0.625, 0.750)
Rb (0.625, 0.375, 0.250)
B (0.125, 0.875, 0.250)
B (0.875, 0.125, 0.750)
Au (0.000, 0.000, 0.000)
Au (0.000, 0.000, 0.500)
Au (0.000, 0.500, 0.000)
Au (0.500, 0.000, 0.500)



No. 3
VASP calculation (PBE-GGA) on a geometry-optimized Ce4Si3S12 structure.

Values from the calculation:
- Energy: -230.926 eV per cell
- Fermi-level density of states: 28.4 states/eV/f.u.
- Energy relative to the elements, uncorrected: -1.365 eV/atom

Cell lengths 11.457, 11.457, 11.457 Å; angles 114.78, 114.78, 114.78 degrees
Fractional coordinates of all 38 atoms:
Ce (0.000, 0.000, 0.000)
Ce (0.024, 0.563, 0.788)
Ce (0.063, 0.524, 0.288)
Ce (0.288, 0.063, 0.524)
Ce (0.500, 0.500, 0.500)
Ce (0.524, 0.288, 0.063)
Ce (0.563, 0.788, 0.024)
Ce (0.788, 0.024, 0.563)
Si (0.029, 0.857, 0.644)
Si (0.144, 0.357, 0.529)
Si (0.357, 0.529, 0.144)
Si (0.529, 0.144, 0.357)
Si (0.644, 0.029, 0.857)
Si (0.857, 0.644, 0.029)
S (0.105, 0.713, 0.179)
S (0.125, 0.311, 0.315)
S (0.149, 0.418, 0.882)
S (0.179, 0.105, 0.713)
S (0.196, 0.910, 0.876)
S (0.213, 0.605, 0.679)
S (0.311, 0.315, 0.125)
S (0.315, 0.125, 0.311)
S (0.376, 0.410, 0.696)
S (0.382, 0.918, 0.649)
S (0.410, 0.696, 0.376)
S (0.418, 0.882, 0.149)
S (0.605, 0.679, 0.213)
S (0.625, 0.815, 0.811)
S (0.649, 0.382, 0.918)
S (0.679, 0.213, 0.605)
S (0.696, 0.376, 0.410)
S (0.713, 0.179, 0.105)
S (0.811, 0.625, 0.815)
S (0.815, 0.811, 0.625)
S (0.876, 0.196, 0.910)
S (0.882, 0.149, 0.418)
S (0.910, 0.876, 0.196)
S (0.918, 0.649, 0.382)



What is the formula in the third record? Ce4Si3S12



What is the formula in the second record? RbBAu2



Look up the energy of the first one. -12.393 eV per cell